Entry 1:
SmZnAu (PBE-GGA, relaxed); ΔH_f (0 K) = -463 meV/atom
1.0
4.7440 0.0000 0.0000
2.3720 4.1084 0.0000
2.3720 1.3695 3.8734
Zn Au Sm
1 1 1
direct
0.5000 0.5000 0.5000 Zn
0.2500 0.2500 0.2500 Au
0.0000 0.0000 0.0000 Sm

---

Entry 2:
KNa3Pa4S12 (PBE-GGA, relaxed); DFT total energy = -6.11 eV/atom
1.0
8.8112 0.0000 0.0000
-2.9371 8.3073 0.0000
-2.9371 -4.1537 7.1943
Pa S Na K
4 12 3 1
direct
0.5000 0.0000 0.0000 Pa
0.0000 0.5000 0.0000 Pa
0.0000 0.0000 0.5000 Pa
0.5000 0.5000 0.5000 Pa
0.9020 0.7062 0.1958 S
0.1958 0.4896 0.2938 S
0.0980 0.2938 0.8042 S
0.8042 0.5104 0.7062 S
0.4896 0.2938 0.1958 S
0.1958 0.9020 0.7062 S
0.7062 0.1958 0.9020 S
0.5104 0.7062 0.8042 S
0.8042 0.0980 0.2938 S
0.7062 0.8042 0.5104 S
0.2938 0.1958 0.4896 S
0.2938 0.8042 0.0980 S
0.5000 0.5000 0.0000 Na
0.0000 0.5000 0.5000 Na
0.5000 0.0000 0.5000 Na
0.0000 0.0000 0.0000 K

---

Entry 3:
TaPAu2 (PBE-GGA, relaxed); ΔH_f (0 K) = 174 meV/atom
1.0
2.6201 -4.5031 0.0000
2.6201 4.5031 0.0000
0.0000 0.0000 2.9615
Au P Ta
2 1 1
direct
0.5000 0.0000 0.0000 Au
0.0000 0.5000 0.0000 Au
0.0000 0.0000 0.5000 P
0.5000 0.5000 0.5000 Ta

---

Entry 4:
BeHgSb2 (PBE-GGA, relaxed); relative energy among the computed polymorphs = 0.379 eV/atom
1.0
6.2121 -0.0106 0.0000
3.4834 5.1436 0.0000
-4.8478 -2.5665 2.9159
Hg Sb Be
1 2 1
direct
0.7500 0.2500 0.5000 Hg
0.0000 0.0000 0.0000 Sb
0.2500 0.7500 0.5000 Sb
0.5000 0.5000 0.0000 Be

---

Entry 5:
Sm4Tl2In (PBE-GGA, relaxed); relative energy among the computed polymorphs = 0.110 eV/atom; ΔH_f (0 K) = -167 meV/atom
1.0
7.4178 0.0000 -0.7243
0.0000 6.7184 0.0000
-3.6032 0.0000 9.1295
Sm In Tl
8 2 4
direct
0.5520 0.0053 0.2238 Sm
0.5520 0.4947 0.2238 Sm
0.0246 0.7500 0.8483 Sm
0.0303 0.7500 0.4548 Sm
0.4480 0.5053 0.7762 Sm
0.9754 0.2500 0.1517 Sm
0.9697 0.2500 0.5452 Sm
0.4480 0.9947 0.7762 Sm
0.2033 0.7500 0.2164 In
0.7967 0.2500 0.7836 In
0.3946 0.2500 0.4590 Tl
0.6054 0.7500 0.5410 Tl
0.7702 0.7500 0.0617 Tl
0.2298 0.2500 0.9383 Tl

---

Entry 6:
BaLaOs2 (PBE-GGA, relaxed); relative energy among the computed polymorphs = 0.617 eV/atom; ΔH_f (0 K) = 711 meV/atom
1.0
3.9976 0.0000 0.0000
0.0000 3.9976 0.0000
0.0000 0.0000 6.9741
Os La Ba
2 1 1
direct
0.0000 0.0000 0.5751 Os
0.0000 0.0000 0.9249 Os
0.5000 0.5000 0.7500 La
0.5000 0.5000 0.2500 Ba

---

Entry 7:
Os2RuRh (PBE-GGA, relaxed); relative energy among the computed polymorphs = 0.034 eV/atom; ΔH_f (0 K) = 120 meV/atom
1.0
4.7195 0.0109 -0.0015
-1.6144 4.4348 -0.0015
0.0009 0.0013 2.7077
Os Ru Rh
2 1 1
direct
0.5000 0.5000 0.0000 Os
0.0000 0.0000 0.0000 Os
0.0000 0.5000 0.5000 Ru
0.5000 0.0000 0.5000 Rh

---

Entry 8:
HfSn2F (PBE-GGA, relaxed); relative energy among the computed polymorphs = 0.074 eV/atom
1.0
-0.4865 -0.1821 4.1197
4.0002 -1.0287 0.4269
4.2564 9.4211 3.0117
F Sn Hf
2 4 2
direct
0.5000 0.5000 0.0000 F
0.2500 0.7500 0.5000 F
0.6270 0.1250 0.2500 Sn
0.3750 0.3730 0.7500 Sn
0.1230 0.6250 0.2500 Sn
0.8750 0.8770 0.7500 Sn
0.7500 0.2500 0.5000 Hf
0.0000 0.0000 0.0000 Hf

---

Number 1: D(E_F) 1.346 states/eV/atom. Number 2: D(E_F) 0.000 states/eV/atom. Number 3: D(E_F) 0.416 states/eV/atom. Number 4: D(E_F) 0.478 states/eV/atom. Number 5: D(E_F) 1.148 states/eV/atom. Number 6: D(E_F) 1.424 states/eV/atom. Number 7: D(E_F) 1.031 states/eV/atom. Number 8: D(E_F) 0.780 states/eV/atom.